Material: La2TlInIr
Method: DFT, PBE-GGA
State: relaxed

Summary:
excess energy over the best structure of this formula in the dataset: 192.7 meV/atom
ΔE_f: -0.39 eV/atom

Unit cell a=5.528 b=5.528 c=5.265 alpha=90.00 beta=90.00 gamma=90.00
Sites, in units of the cell vectors:
La: 0.000 0.500 0.000
La: 0.500 0.000 0.000
Tl: 0.000 0.000 0.500
In: 0.500 0.500 0.500
Ir: 0.000 0.000 0.000

---

Material: Hf6TlGe
Method: DFT, PBE-GGA
State: relaxed

Summary:
ΔE_f: 0.27 eV/atom

Unit cell a=6.339 b=6.339 c=6.094 alpha=103.98 beta=103.98 gamma=120.84
Sites, in units of the cell vectors:
Hf: 0.218 0.769 0.754
Hf: 0.231 0.782 0.246
Hf: 0.475 0.475 0.237
Hf: 0.525 0.525 0.763
Hf: 0.769 0.218 0.754
Hf: 0.782 0.231 0.246
Tl: 0.000 0.000 0.500
Ge: 0.000 0.000 0.000

---

Material: TbSnIrPd
Method: DFT, PBE-GGA
State: relaxed

Summary:
ΔE_f: -0.68 eV/atom

Unit cell a=4.771 b=4.771 c=4.771 alpha=60.00 beta=60.00 gamma=60.00
Sites, in units of the cell vectors:
Tb: 0.000 0.000 0.000
Sn: 0.500 0.500 0.500
Ir: 0.750 0.750 0.750
Pd: 0.250 0.250 0.250

---

Material: MgMnRe
Method: DFT, PBE-GGA
State: relaxed

Summary:
excess energy over the best structure of this formula in the dataset: 116.7 meV/atom
ΔE_f: 0.27 eV/atom

Unit cell a=6.979 b=6.792 c=2.727 alpha=82.46 beta=74.76 gamma=22.79
Sites, in units of the cell vectors:
Mg: 0.000 0.000 0.000
Mn: 0.325 0.325 0.675
Re: 0.680 0.680 0.320

---

Material: ZrBe4Re
Method: DFT, PBE-GGA
State: relaxed

Summary:
ΔE_f: -0.29 eV/atom

Unit cell a=4.598 b=4.598 c=4.598 alpha=60.00 beta=60.00 gamma=60.00
Sites, in units of the cell vectors:
Zr: 0.000 0.000 0.000
Be: 0.378 0.378 0.378
Be: 0.378 0.378 0.867
Be: 0.378 0.867 0.378
Be: 0.867 0.378 0.378
Re: 0.750 0.750 0.750

---

Material: MnGePd6
Method: DFT, PBE-GGA
State: relaxed

Summary:
excess energy over the best structure of this formula in the dataset: 0.0 meV/atom
ΔE_f: -0.29 eV/atom

Unit cell a=3.949 b=3.949 c=7.778 alpha=90.00 beta=90.00 gamma=90.00
Sites, in units of the cell vectors:
Mn: 0.000 0.000 0.000
Ge: 0.000 0.000 0.500
Pd: 0.000 0.500 0.252
Pd: 0.000 0.500 0.748
Pd: 0.500 0.000 0.252
Pd: 0.500 0.000 0.748
Pd: 0.500 0.500 0.000
Pd: 0.500 0.500 0.500

---

Material: LiCuHS2
Method: DFT, PBE-GGA
State: relaxed

Summary:
electronic total energy: -16.6 eV/cell

Unit cell a=4.161 b=4.161 c=3.527 alpha=90.00 beta=90.00 gamma=90.00
Sites, in units of the cell vectors:
Li: 0.000 0.000 0.000
Cu: 0.500 0.500 0.000
H: 0.000 0.000 0.500
S: 0.000 0.500 0.500
S: 0.500 0.000 0.500

---

Material: InB4S7
Method: DFT, PBE-GGA
State: relaxed

Summary:
raw formation energy: -0.3464 eV per atom

Unit cell a=13.394 b=5.544 c=5.331 alpha=90.00 beta=90.00 gamma=90.00
Sites, in units of the cell vectors:
In: 0.000 0.125 0.000
In: 0.500 0.875 0.500
B: 0.125 0.665 0.745
B: 0.250 0.170 0.726
B: 0.250 0.830 0.226
B: 0.375 0.335 0.245
B: 0.625 0.335 0.245
B: 0.750 0.170 0.726
B: 0.750 0.830 0.226
B: 0.875 0.665 0.745
S: 0.000 0.799 0.616
S: 0.126 0.715 0.101
S: 0.130 0.336 0.638
S: 0.238 0.839 0.602
S: 0.262 0.161 0.102
S: 0.370 0.664 0.138
S: 0.374 0.285 0.601
S: 0.500 0.201 0.116
S: 0.626 0.285 0.601
S: 0.630 0.664 0.138
S: 0.738 0.161 0.102
S: 0.762 0.839 0.602
S: 0.870 0.336 0.638
S: 0.874 0.715 0.101

---

Material: NaIn2SnRh
Method: DFT, PBE-GGA
State: relaxed

Summary:
ΔE_f: -0.14 eV/atom

Unit cell a=5.192 b=5.192 c=5.146 alpha=90.00 beta=90.00 gamma=90.00
Sites, in units of the cell vectors:
Na: 0.000 0.000 0.000
In: 0.000 0.500 0.500
In: 0.500 0.000 0.500
Sn: 0.500 0.500 0.000
Rh: 0.500 0.500 0.500

---

Material: SmDy2Er7
Method: DFT, PBE-GGA
State: relaxed

Summary:
excess energy over the best structure of this formula in the dataset: 0.0 meV/atom
ΔE_f: 0.02 eV/atom

Unit cell a=6.095 b=6.105 c=9.323 alpha=102.56 beta=108.98 gamma=99.69
Sites, in units of the cell vectors:
Sm: 0.000 0.000 0.000
Dy: 0.401 0.501 0.301
Dy: 0.599 0.499 0.699
Er: 0.000 0.500 0.500
Er: 0.200 0.000 0.400
Er: 0.201 0.501 0.900
Er: 0.399 0.000 0.799
Er: 0.601 0.000 0.201
Er: 0.799 0.499 0.100
Er: 0.800 0.000 0.600

---

Material: NaTlAg2
Method: DFT, PBE-GGA
State: relaxed

Summary:
ΔE_f: 0.08 eV/atom

Unit cell a=3.635 b=3.635 c=6.841 alpha=90.00 beta=90.00 gamma=90.00
Sites, in units of the cell vectors:
Na: 0.000 0.000 0.000
Tl: 0.000 0.000 0.500
Ag: 0.500 0.500 0.238
Ag: 0.500 0.500 0.762

---

Material: Nd4ThTe5
Method: DFT, PBE-GGA
State: relaxed

Summary:
raw formation energy: -1.3305 eV per atom
excess energy over the best structure of this formula in the dataset: 3.8 meV/atom

Unit cell a=11.954 b=11.954 c=11.954 alpha=158.46 beta=149.18 gamma=37.91
Sites, in units of the cell vectors:
Nd: 0.100 0.100 0.000
Nd: 0.302 0.302 0.000
Nd: 0.698 0.698 0.000
Nd: 0.900 0.900 0.000
Th: 0.500 0.500 0.000
Te: 0.000 0.500 0.500
Te: 0.201 0.701 0.500
Te: 0.400 0.900 0.500
Te: 0.600 0.100 0.500
Te: 0.799 0.299 0.500

---

Material: As3OsN
Method: DFT, PBE-GGA
State: relaxed

Summary:
raw formation energy: 1.0033 eV per atom
excess energy over the best structure of this formula in the dataset: 0.0 meV/atom

Unit cell a=4.192 b=4.192 c=4.192 alpha=90.00 beta=90.00 gamma=90.00
Sites, in units of the cell vectors:
As: 0.000 0.000 0.500
As: 0.000 0.500 0.000
As: 0.500 0.000 0.000
Os: 0.500 0.500 0.500
N: 0.000 0.000 0.000

---

Material: BaSmI
Method: DFT, PBE-GGA
State: relaxed

Summary:
raw formation energy: -0.5881 eV per atom

Unit cell a=16.447 b=4.106 c=4.106 alpha=59.99 beta=90.00 gamma=90.00
Sites, in units of the cell vectors:
Ba: 0.194 0.000 0.000
Ba: 0.806 0.000 0.000
Sm: 0.000 0.667 0.667
Sm: 0.500 0.000 0.000
I: 0.368 0.666 0.666
I: 0.632 0.666 0.666

---

Material: Rb2MnCl4
Method: DFT, PBE-GGA
State: relaxed

Summary:
raw formation energy: -1.6238 eV per atom
excess energy over the best structure of this formula in the dataset: 0.0 meV/atom

Unit cell a=7.434 b=7.354 c=9.265 alpha=90.00 beta=108.75 gamma=90.00
Sites, in units of the cell vectors:
Rb: 0.208 0.250 0.048
Rb: 0.285 0.250 0.572
Rb: 0.715 0.750 0.428
Rb: 0.792 0.750 0.952
Mn: 0.226 0.750 0.795
Mn: 0.774 0.250 0.205
Cl: 0.013 0.503 0.737
Cl: 0.013 0.997 0.737
Cl: 0.396 0.750 0.058
Cl: 0.423 0.750 0.640
Cl: 0.577 0.250 0.360
Cl: 0.604 0.250 0.942
Cl: 0.987 0.003 0.263
Cl: 0.987 0.497 0.263

---

Material: V2OsRh9
Method: DFT, PBE-GGA
State: relaxed

Summary:
ΔE_f: -0.21 eV/atom

Unit cell a=3.821 b=3.821 c=11.477 alpha=90.00 beta=90.00 gamma=90.00
Sites, in units of the cell vectors:
V: 0.000 0.000 0.162
V: 0.000 0.000 0.838
Os: 0.000 0.000 0.500
Rh: 0.000 0.500 0.000
Rh: 0.000 0.500 0.332
Rh: 0.000 0.500 0.668
Rh: 0.500 0.000 0.000
Rh: 0.500 0.000 0.332
Rh: 0.500 0.000 0.668
Rh: 0.500 0.500 0.167
Rh: 0.500 0.500 0.500
Rh: 0.500 0.500 0.833

---

Material: PmSn2Bi
Method: DFT, PBE-GGA
State: relaxed

Summary:
excess energy over the best structure of this formula in the dataset: 235.0 meV/atom
ΔE_f: -0.21 eV/atom

Unit cell a=5.507 b=5.507 c=5.507 alpha=60.00 beta=60.00 gamma=60.00
Sites, in units of the cell vectors:
Pm: 0.000 0.000 0.000
Sn: 0.250 0.250 0.250
Sn: 0.750 0.750 0.750
Bi: 0.500 0.500 0.500

---

Material: NaSb2C2
Method: DFT, PBE-GGA
State: relaxed

Summary:
raw formation energy: 1.0150 eV per atom
excess energy over the best structure of this formula in the dataset: 0.0 meV/atom

Unit cell a=4.913 b=4.913 c=4.913 alpha=114.65 beta=114.65 gamma=99.55
Sites, in units of the cell vectors:
Na: 0.000 0.000 0.000
Sb: 0.250 0.750 0.500
Sb: 0.750 0.250 0.500
C: 0.394 0.394 0.000
C: 0.606 0.606 0.000

---

Material: Nd3Mg7Cd2
Method: DFT, PBE-GGA
State: relaxed

Summary:
ΔE_f: -0.14 eV/atom

Unit cell a=10.411 b=10.411 c=10.411 alpha=33.86 beta=33.86 gamma=33.86
Sites, in units of the cell vectors:
Nd: 0.000 0.000 0.000
Nd: 0.144 0.144 0.144
Nd: 0.856 0.856 0.856
Mg: 0.079 0.583 0.583
Mg: 0.417 0.417 0.921
Mg: 0.417 0.921 0.417
Mg: 0.500 0.500 0.500
Mg: 0.583 0.079 0.583
Mg: 0.583 0.583 0.079
Mg: 0.921 0.417 0.417
Cd: 0.334 0.334 0.334
Cd: 0.666 0.666 0.666

---

Material: KZrOs2O8
Method: DFT, PBE-GGA
State: relaxed

Summary:
raw formation energy: -1.4784 eV per atom

Unit cell a=5.843 b=5.843 c=7.522 alpha=90.00 beta=90.00 gamma=120.00
Sites, in units of the cell vectors:
K: 0.000 0.000 0.000
Zr: 0.000 0.000 0.500
Os: 0.333 0.667 0.764
Os: 0.667 0.333 0.236
O: 0.165 0.333 0.667
O: 0.168 0.835 0.667
O: 0.333 0.168 0.333
O: 0.333 0.667 0.998
O: 0.667 0.333 0.002
O: 0.667 0.832 0.667
O: 0.832 0.165 0.333
O: 0.835 0.667 0.333

---

Magnetic moment: 0.00, 0.00, 0.00, 2.44, 0.00, 4.85, 0.00, 0.96, 0.00, 0.00, 0.00, 0.00, 0.00, 0.28, 10.00, 0.00, 0.00, 0.00, 0.00, 2.43 (μB per cell)